MnGaSe2Cl SCAN PBEsol geometry; SG = P4/mmm; calculated volume = 19.809 Å³ per atom; uncorrected energy = -16.566 eV per atom
1.0
4.441 0.000 0.000
0.000 4.441 0.000
0.000 0.000 5.023
Mn Ga Se Cl
1 1 2 1
direct
0.000 0.000 0.000 Mn
0.000 0.000 0.500 Ga
0.000 0.500 0.000 Se
0.500 0.000 0.000 Se
0.500 0.500 0.500 Cl



GaPNCl2 SCAN PBEsol geometry; SG = P4/mmm; calculated volume = 22.123 Å³ per atom; uncorrected energy = -9.587 eV per atom
1.0
4.749 0.000 0.000
0.000 4.749 0.000
0.000 0.000 4.904
P N Ga Cl
1 1 1 2
direct
0.000 0.000 0.500 P
0.500 0.500 0.500 N
0.000 0.000 0.000 Ga
0.000 0.500 0.000 Cl
0.500 0.000 0.000 Cl



NaGaCl3 SCAN PBEsol geometry; SG = Pm-3m; calculated volume = 26.726 Å³ per atom; uncorrected energy = -9.619 eV per atom
1.0
-4.783 1.743 -0.468
-0.797 -3.230 -3.882
-1.619 -3.560 3.293
Na Ga Cl
1 1 3
direct
0.000 0.000 0.000 Na
0.500 0.500 0.500 Ga
0.000 0.500 0.000 Cl
0.000 0.000 0.500 Cl
0.500 0.000 0.000 Cl



Na4Ga3Si3ClO12 SCAN PBEsol geometry; SG = P-43n; calculated volume = 15.642 Å³ per atom; uncorrected energy = -10.266 eV per atom
1.0
-5.475 -6.713 -2.293
6.666 -3.877 -4.565
2.427 -4.495 7.362
Na Ga Si Cl O
8 6 6 2 24
direct
0.672 0.328 0.328 Na
0.328 0.328 0.672 Na
0.328 0.672 0.328 Na
0.172 0.172 0.172 Na
0.672 0.672 0.672 Na
0.828 0.172 0.828 Na
0.828 0.828 0.172 Na
0.172 0.828 0.828 Na
0.500 0.250 0.000 Ga
0.500 0.750 0.000 Ga
0.750 0.000 0.500 Ga
0.000 0.500 0.250 Ga
0.000 0.500 0.750 Ga
0.250 0.000 0.500 Ga
0.250 0.500 0.000 Si
0.500 0.000 0.750 Si
0.500 0.000 0.250 Si
0.750 0.500 0.000 Si
0.000 0.250 0.500 Si
0.000 0.750 0.500 Si
0.000 0.000 0.000 Cl
0.500 0.500 0.500 Cl
0.849 0.425 0.866 O
0.634 0.925 0.651 O
0.634 0.075 0.349 O
0.925 0.651 0.634 O
0.075 0.651 0.366 O
0.651 0.634 0.925 O
0.349 0.366 0.925 O
0.866 0.849 0.425 O
0.866 0.151 0.575 O
0.134 0.849 0.575 O
0.151 0.575 0.866 O
0.575 0.134 0.849 O
0.134 0.151 0.425 O
0.366 0.925 0.349 O
0.366 0.075 0.651 O
0.075 0.349 0.634 O
0.925 0.349 0.366 O
0.651 0.366 0.075 O
0.349 0.634 0.075 O
0.575 0.866 0.151 O
0.151 0.425 0.134 O
0.849 0.575 0.134 O
0.425 0.866 0.849 O
0.425 0.134 0.151 O



Rb2NaGaCl6 SCAN PBEsol geometry; SG = Fm-3m; calculated volume = 25.948 Å³ per atom; uncorrected energy = -12.796 eV per atom
1.0
7.159 0.000 0.000
3.580 6.200 0.000
3.580 2.067 5.846
Na Ga Rb Cl
1 1 2 6
direct
0.500 0.500 0.500 Na
0.000 0.000 0.000 Ga
0.750 0.750 0.750 Rb
0.250 0.250 0.250 Rb
0.233 0.767 0.233 Cl
0.233 0.767 0.767 Cl
0.767 0.233 0.233 Cl
0.233 0.233 0.767 Cl
0.767 0.767 0.233 Cl
0.767 0.233 0.767 Cl



NaGaSCl2 SCAN PBEsol geometry; SG = P4/mmm; calculated volume = 26.264 Å³ per atom; uncorrected energy = -9.514 eV per atom
1.0
-3.079 3.840 1.240
-2.789 -3.156 2.852
2.929 1.048 4.025
Na S Ga Cl
1 1 1 2
direct
0.000 0.000 0.000 Na
0.500 0.000 0.000 S
0.500 0.500 0.500 Ga
0.000 0.000 0.500 Cl
0.000 0.500 0.000 Cl



NbGaCl3 SCAN PBEsol geometry; SG = Pm-3m; calculated volume = 23.126 Å³ per atom; uncorrected energy = -14.616 eV per atom
1.0
-1.880 0.704 -4.439
3.471 -2.829 -1.919
-2.855 -3.903 0.591
Nb Ga Cl
1 1 3
direct
0.500 0.500 0.500 Nb
0.000 0.000 0.000 Ga
0.000 0.500 0.000 Cl
0.000 0.000 0.500 Cl
0.500 0.000 0.000 Cl



NbGa2OsCl SCAN PBEsol geometry; SG = P4/mmm; calculated volume = 18.243 Å³ per atom; uncorrected energy = -27.752 eV per atom
1.0
4.329 0.000 0.000
0.000 4.590 0.000
0.000 0.000 4.590
Nb Os Ga Cl
1 1 2 1
direct
0.500 0.500 0.500 Nb
0.500 0.000 0.000 Os
0.000 0.000 0.500 Ga
0.000 0.500 0.000 Ga
0.000 0.000 0.000 Cl



NbGaSCl2 SCAN PBEsol geometry; SG = P4/mmm; calculated volume = 20.726 Å³ per atom; uncorrected energy = -14.977 eV per atom
1.0
-3.161 0.665 -3.350
-1.259 -4.469 0.301
-3.265 1.143 3.308
Nb S Ga Cl
1 1 1 2
direct
0.500 0.500 0.500 Nb
0.000 0.000 0.500 S
0.000 0.000 0.000 Ga
0.000 0.500 0.000 Cl
0.500 0.000 0.000 Cl



NbGaSCl2 SCAN PBEsol geometry; SG = P4/mmm; calculated volume = 22.772 Å³ per atom; uncorrected energy = -15.666 eV per atom
1.0
-4.127 2.026 1.224
-1.787 -4.384 1.233
1.653 0.610 4.564
Nb S Ga Cl
1 1 1 2
direct
0.000 0.000 0.000 Nb
0.500 0.000 0.000 S
0.500 0.500 0.500 Ga
0.000 0.000 0.500 Cl
0.000 0.500 0.000 Cl



GaNiCl2 SCAN PBEsol geometry; SG = R-3m; calculated volume = 22.281 Å³ per atom; uncorrected energy = -12.349 eV per atom
1.0
3.570 0.000 0.000
1.785 3.092 0.000
1.785 1.031 8.076
Ni Ga Cl
1 1 2
direct
0.000 0.000 0.000 Ni
0.500 0.500 0.500 Ga
0.914 0.914 0.258 Cl
0.086 0.086 0.742 Cl



GaNiS2Cl SCAN PBEsol geometry; SG = P4/mmm; calculated volume = 18.158 Å³ per atom; uncorrected energy = -11.875 eV per atom
1.0
4.407 0.000 0.000
0.000 4.407 0.000
0.000 0.000 4.674
Ni S Ga Cl
1 2 1 1
direct
0.000 0.000 0.000 Ni
0.000 0.500 0.000 S
0.500 0.000 0.000 S
0.500 0.500 0.500 Ga
0.000 0.000 0.500 Cl



Q: Which of these has the highest calculated volume?
A: NaGaCl3